A relaxed NpZnB crystal, computed with PBE.

Output
E_tot	-6.59	eV per atom
symmetry	F-43m, No. 216

Geometry as POSCAR:
```
NpZnB
1.0
2.4807 0.6695 3.2704
0.5578 3.8654 1.4302
-1.6358 1.1209 3.6559
B Np Zn
1 1 1
direct
0.0000 0.0000 0.0000 B
0.2500 0.2500 0.2500 Np
0.7500 0.7500 0.7500 Zn
```